No. 1
LiTlSn2F6: optimized geometry, PBE-GGA.

Summary:
- Electronic total energy: -4.6471 eV per atom

Lattice parameters (Å, degrees): 5.692 5.964 7.028 113.75 90.49 114.45
Space group P1 (No. 1)
Asymmetric unit:
Li  0.000  0.000  0.000 (multiplicity 1)
Tl  0.384  0.867  0.427 (multiplicity 1)
Sn  0.189  0.457  0.745 (multiplicity 1)
Sn  0.654  0.351  0.147 (multiplicity 1)
F  0.068  0.363  0.002 (multiplicity 1)
F  0.290  0.153  0.235 (multiplicity 1)
F  0.419  0.151  0.844 (multiplicity 1)
F  0.675  0.988  0.094 (multiplicity 1)
F  0.880  0.071  0.554 (multiplicity 1)
F  0.931  0.637  0.805 (multiplicity 1)


No. 2
Nd2SmY9: optimized geometry, PBE-GGA.

Summary:
- Electronic total energy: -6.0137 eV per atom

Lattice parameters (Å, degrees): 5.084 5.084 15.247 90.00 90.00 90.00
Space group P4/mmm (No. 123)
Asymmetric unit:
Nd  0.000  0.000  0.167 (multiplicity 2)
Sm  0.000  0.000  0.500 (multiplicity 1)
Y  0.000  0.500  0.000 (multiplicity 2)
Y  0.000  0.500  0.334 (multiplicity 4)
Y  0.500  0.500  0.167 (multiplicity 2)
Y  0.500  0.500  0.500 (multiplicity 1)


- What is the electronic total energy in the first record?
  -4.6471 eV per atom